Below is a relaxed LaCr2Se crystal, with properties calculated at the PBE-GGA level.

Calculated values
formation energy (no corrections)	0.2705	eV/atom
electronic total energy	-26.6	eV/cell
density of states at the Fermi level	4.1	states/eV per cell

a b c (Å): 3.3842 3.3842 7.4801
angles (deg): 90.00 90.00 90.00
With the nearest neighbours (Å) after each atom.
Positions (direct):
La1 0.0000 0.0000 0.0000  8 Cr 3.32, 4 La 3.38
Cr1 0.5000 0.5000 0.3071  4 Se 2.79, 1 Cr 2.89
Cr2 0.5000 0.5000 0.6929  4 Se 2.79, 1 Cr 2.89
Se1 0.0000 0.0000 0.5000  8 Cr 2.79

=====

Below is a relaxed Os2RuAu crystal, with properties calculated at the PBE-GGA level.

Calculated values
electronic total energy	-33.6	eV/cell
density of states at the Fermi level	6.0	states/eV per cell

a b c (Å): 2.7687 2.7687 7.8893
angles (deg): 90.00 90.00 90.00
With the nearest neighbours (Å) after each atom.
Positions (direct):
Os1 0.0000 0.0000 0.0000  8 Os 2.66-2.77, 4 Au 2.89
Os2 0.5000 0.5000 0.2284  8 Os 2.66-2.77, 4 Ru 2.70
Ru1 0.0000 0.0000 0.4642  4 Os 2.70, 4 Ru 2.77, 4 Au 2.87
Au1 0.5000 0.5000 0.7297  4 Au 2.77, 4 Ru 2.87, 4 Os 2.89

=====

Q: Among the records above, which one has the lowest density of states at the Fermi level?
A: LaCr2Se